(1)
# P2HPbO GGA-PBE optimized geometry
# Relative energy among the computed polymorphs (eV per atom): 1.1615
# Volume (A^3/atom): 28.13
# VASP energy (Ha/atom): -0.115
data_P2HPbO
_space_group_name_H-M_alt 'P 1'
_space_group_IT_number 1
_cell_length_a 5.622
_cell_length_b 5.622
_cell_length_c 4.449
_cell_angle_alpha 90.00
_cell_angle_beta 90.00
_cell_angle_gamma 90.00
loop_
_space_group_symop_operation_xyz
'x,y,z'
loop_
_atom_site_label
_atom_site_fract_x
_atom_site_fract_y
_atom_site_fract_z
P1 0.000 0.500 0.000
P2 0.500 0.000 0.000
H1 0.000 0.000 0.500
Pb1 0.500 0.500 0.000
O1 0.500 0.500 0.500

***

(2)
# P2HPbO GGA-PBE optimized geometry
# Relative energy among the computed polymorphs (eV per atom): 0.0000
# Volume (A^3/atom): 14.86
# VASP energy (Ha/atom): -0.157
data_P2HPbO
_space_group_name_H-M_alt 'P 1'
_space_group_IT_number 1
_cell_length_a 3.536
_cell_length_b 3.536
_cell_length_c 5.944
_cell_angle_alpha 90.00
_cell_angle_beta 90.00
_cell_angle_gamma 90.00
loop_
_space_group_symop_operation_xyz
'x,y,z'
loop_
_atom_site_label
_atom_site_fract_x
_atom_site_fract_y
_atom_site_fract_z
P1 0.000 0.500 0.000
P2 0.500 0.000 0.000
H1 0.000 0.000 0.000
Pb1 0.500 0.500 0.500
O1 0.000 0.000 0.500

***

(3)
# P2H4PbO8 GGA-PBE optimized geometry
# Relative energy among the computed polymorphs (eV per atom): 0.3238
# Volume (A^3/atom): 13.43
# VASP energy (Ha/atom): -0.215
data_P2H4PbO8
_space_group_name_H-M_alt 'P 1'
_space_group_IT_number 1
_cell_length_a 6.989
_cell_length_b 7.602
_cell_length_c 8.514
_cell_angle_alpha 70.05
_cell_angle_beta 75.55
_cell_angle_gamma 74.21
loop_
_space_group_symop_operation_xyz
'x,y,z'
loop_
_atom_site_label
_atom_site_fract_x
_atom_site_fract_y
_atom_site_fract_z
P1 0.193 0.473 0.324
P2 0.285 0.007 0.883
P3 0.715 0.993 0.117
P4 0.807 0.527 0.676
H1 0.001 0.537 0.277
H2 0.033 0.137 0.053
H3 0.370 0.603 0.091
H4 0.422 0.869 0.121
H5 0.578 0.131 0.879
H6 0.630 0.397 0.909
H7 0.967 0.863 0.947
H8 0.999 0.463 0.723
Pb1 0.267 0.839 0.526
Pb2 0.733 0.161 0.474
O1 0.098 0.152 0.378
O2 0.144 0.175 0.954
O3 0.170 0.926 0.802
O4 0.201 0.255 0.442
O5 0.236 0.576 0.429
O6 0.348 0.836 0.046
O7 0.352 0.468 0.157
O8 0.469 0.083 0.770
O9 0.531 0.917 0.230
O10 0.648 0.532 0.843
O11 0.652 0.164 0.954
O12 0.764 0.424 0.571
O13 0.799 0.745 0.558
O14 0.830 0.074 0.198
O15 0.856 0.825 0.046
O16 0.902 0.848 0.622

***

(4)
# P2H4PbO8 GGA-PBE optimized geometry
# Relative energy among the computed polymorphs (eV per atom): 0.0000
# Volume (A^3/atom): 13.42
# VASP energy (Ha/atom): -0.226
data_P2H4PbO8
_space_group_name_H-M_alt 'P 1'
_space_group_IT_number 1
_cell_length_a 5.862
_cell_length_b 9.015
_cell_length_c 9.078
_cell_angle_alpha 109.80
_cell_angle_beta 105.43
_cell_angle_gamma 104.70
loop_
_space_group_symop_operation_xyz
'x,y,z'
loop_
_atom_site_label
_atom_site_fract_x
_atom_site_fract_y
_atom_site_fract_z
P1 0.062 0.147 0.358
P2 0.367 0.598 0.841
P3 0.633 0.402 0.159
P4 0.938 0.853 0.642
H1 0.153 0.954 0.439
H2 0.250 0.043 0.893
H3 0.252 0.464 0.991
H4 0.318 0.838 0.937
H5 0.682 0.162 0.063
H6 0.748 0.536 0.009
H7 0.750 0.957 0.107
H8 0.847 0.046 0.561
Pb1 0.261 0.600 0.416
Pb2 0.739 0.400 0.584
O1 0.100 0.844 0.535
O2 0.115 0.926 0.840
O3 0.171 0.485 0.888
O4 0.200 0.020 0.372
O5 0.205 0.578 0.667
O6 0.266 0.315 0.398
O7 0.394 0.442 0.142
O8 0.452 0.794 0.974
O9 0.548 0.206 0.026
O10 0.606 0.558 0.858
O11 0.734 0.685 0.602
O12 0.795 0.422 0.333
O13 0.800 0.980 0.628
O14 0.829 0.515 0.112
O15 0.885 0.074 0.160
O16 0.900 0.156 0.465

***

(5)
# P2H4PbO4 GGA-PBE optimized geometry
# Volume (A^3/atom): 13.59
# VASP energy (Ha/atom): -0.200
data_P2H4PbO4
_space_group_name_H-M_alt 'P 1'
_space_group_IT_number 1
_cell_length_a 8.639
_cell_length_b 8.639
_cell_length_c 6.079
_cell_angle_alpha 92.70
_cell_angle_beta 92.70
_cell_angle_gamma 41.30
loop_
_space_group_symop_operation_xyz
'x,y,z'
loop_
_atom_site_label
_atom_site_fract_x
_atom_site_fract_y
_atom_site_fract_z
P1 0.114 0.615 0.732
P2 0.385 0.886 0.768
P3 0.615 0.114 0.232
P4 0.886 0.385 0.268
H1 0.070 0.309 0.404
H2 0.186 0.433 0.853
H3 0.309 0.070 0.904
H4 0.433 0.186 0.353
H5 0.567 0.814 0.647
H6 0.691 0.930 0.096
H7 0.814 0.567 0.147
H8 0.930 0.691 0.596
Pb1 0.250 0.750 0.250
Pb2 0.750 0.250 0.750
O1 0.012 0.816 0.891
O2 0.184 0.988 0.609
O3 0.315 0.511 0.586
O4 0.489 0.685 0.914
O5 0.511 0.315 0.086
O6 0.685 0.489 0.414
O7 0.816 0.012 0.391
O8 0.988 0.184 0.109

***

Number 1: Fermi-level density of states 6.21 states/eV per cell. Number 2: Fermi-level density of states 2.54 states/eV per cell. Number 3: Fermi-level density of states 0.00 states/eV per cell. Number 4: Fermi-level density of states 0.00 states/eV per cell. Number 5: Fermi-level density of states 0.00 states/eV per cell.